No. 1
# LiRe2Mo (GGA-PBE, optimized geometry)
# Magnetization   0.0 μB per cell
# Formation energy from the elements   407 meV per atom
data_LiRe2Mo
_cell_length_a 2.738
_cell_length_b 2.738
_cell_length_c 8.218
_cell_angle_alpha 90.00
_cell_angle_beta 90.00
_cell_angle_gamma 90.00
_symmetry_space_group_name_H-M 'P 4 m m'
_symmetry_Int_Tables_number 99
loop_
_symmetry_equiv_pos_as_xyz
'x,y,z'
'-y,x,z'
'-x,-y,z'
'y,-x,z'
'-x,y,z'
'y,x,z'
'x,-y,z'
'-y,-x,z'
loop_
_atom_site_label
_atom_site_type_symbol
_atom_site_fract_x
_atom_site_fract_y
_atom_site_fract_z
_atom_site_occupancy
Li1 Li 0.000 0.000 0.000 1
Re1 Re 0.000 0.000 0.516 1
Re2 Re 0.500 0.500 0.746 1
Mo1 Mo 0.500 0.500 0.271 1

---

No. 2
# AlSbO (GGA-PBE, optimized geometry)
# Raw formation energy   -4.50 eV/f.u.
# Magnetization   0.0 μB per cell
data_AlSbO
_cell_length_a 3.411
_cell_length_b 3.447
_cell_length_c 10.656
_cell_angle_alpha 90.00
_cell_angle_beta 90.00
_cell_angle_gamma 90.00
_symmetry_space_group_name_H-M 'P m m n'
_symmetry_Int_Tables_number 59
loop_
_symmetry_equiv_pos_as_xyz
'x,y,z'
'-x,-y,-z'
'-x+1/2,-y+1/2,z'
'x+1/2,y+1/2,-z'
'x+1/2,-y,-z'
'-x+1/2,y,z'
'-x,y+1/2,-z'
'x,-y+1/2,z'
loop_
_atom_site_label
_atom_site_type_symbol
_atom_site_fract_x
_atom_site_fract_y
_atom_site_fract_z
_atom_site_occupancy
Al1 Al 0.250 0.250 0.076 1
Sb1 Sb 0.250 0.250 0.327 1
O1 O 0.250 0.750 0.002 1

---

No. 3
# Tm2TcSe (GGA-PBE, optimized geometry)
# Raw formation energy   0.02 eV/f.u.
# Magnetization   2.6 μB per cell
data_Tm2TcSe
_cell_length_a 3.4988
_cell_length_b 3.4988
_cell_length_c 26.9801
_cell_angle_alpha 90.00
_cell_angle_beta 90.00
_cell_angle_gamma 120.00
_symmetry_space_group_name_H-M 'R -3 m'
_symmetry_Int_Tables_number 166
_symmetry_space_group_name_Hall '-R 3 2"'
loop_
_atom_site_label
_atom_site_type_symbol
_atom_site_fract_x
_atom_site_fract_y
_atom_site_fract_z
_atom_site_occupancy
Tm1 Tm 0.0000 0.0000 0.0951 1
Tc1 Tc 0.0000 0.0000 0.0000 1
Se1 Se 0.0000 0.0000 0.5000 1

---

No. 4
# Hg2SbAu (GGA-PBE, optimized geometry)
# Raw formation energy   0.75 eV/f.u.
# Magnetization   0.0 μB per cell
data_Hg2SbAu
_cell_length_a 4.574
_cell_length_b 4.574
_cell_length_c 8.891
_cell_angle_alpha 90.00
_cell_angle_beta 90.00
_cell_angle_gamma 90.00
_symmetry_space_group_name_H-M 'I -4 m 2'
_symmetry_Int_Tables_number 119
_symmetry_space_group_name_Hall 'I -4 -2'
loop_
_atom_site_label
_atom_site_type_symbol
_atom_site_fract_x
_atom_site_fract_y
_atom_site_fract_z
_atom_site_occupancy
Hg1 Hg 0.000 0.000 0.000 1
Hg2 Hg 0.000 0.500 0.250 1
Sb1 Sb 0.000 0.500 0.750 1
Au1 Au 0.000 0.000 0.500 1

---

Copy entry 3 word for word.
# Tm2TcSe (GGA-PBE, optimized geometry)
# Raw formation energy   0.02 eV/f.u.
# Magnetization   2.6 μB per cell
data_Tm2TcSe
_cell_length_a 3.4988
_cell_length_b 3.4988
_cell_length_c 26.9801
_cell_angle_alpha 90.00
_cell_angle_beta 90.00
_cell_angle_gamma 120.00
_symmetry_space_group_name_H-M 'R -3 m'
_symmetry_Int_Tables_number 166
_symmetry_space_group_name_Hall '-R 3 2"'
loop_
_atom_site_label
_atom_site_type_symbol
_atom_site_fract_x
_atom_site_fract_y
_atom_site_fract_z
_atom_site_occupancy
Tm1 Tm 0.0000 0.0000 0.0951 1
Tc1 Tc 0.0000 0.0000 0.0000 1
Se1 Se 0.0000 0.0000 0.5000 1

---

Copy entry 3 word for word.
# Tm2TcSe (GGA-PBE, optimized geometry)
# Raw formation energy   0.02 eV/f.u.
# Magnetization   2.6 μB per cell
data_Tm2TcSe
_cell_length_a 3.4988
_cell_length_b 3.4988
_cell_length_c 26.9801
_cell_angle_alpha 90.00
_cell_angle_beta 90.00
_cell_angle_gamma 120.00
_symmetry_space_group_name_H-M 'R -3 m'
_symmetry_Int_Tables_number 166
_symmetry_space_group_name_Hall '-R 3 2"'
loop_
_atom_site_label
_atom_site_type_symbol
_atom_site_fract_x
_atom_site_fract_y
_atom_site_fract_z
_atom_site_occupancy
Tm1 Tm 0.0000 0.0000 0.0951 1
Tc1 Tc 0.0000 0.0000 0.0000 1
Se1 Se 0.0000 0.0000 0.5000 1

---

Q: What is the formula in the third record?
A: Tm2TcSe